## PmPuTl (PBE)

Data for a geometry-optimized PmPuTl structure.

Cell and atoms, written as CIF:
```
data_PmPuTl
_chemical_formula_sum 'Pm2 Pu2 Tl2'
_cell_length_a 3.719
_cell_length_b 3.719
_cell_length_c 12.890
_cell_angle_alpha 90.00
_cell_angle_beta 90.00
_cell_angle_gamma 90.00
_space_group_name_H-M_alt 'I 4 m m'
_space_group_IT_number 107
_space_group_name_Hall 'I 4 -2'
loop_
_atom_site_label
_atom_site_fract_x
_atom_site_fract_y
_atom_site_fract_z
Pm1 0.000 0.000 0.000
Pu1 0.000 0.000 0.316
Tl1 0.000 0.000 0.660
```

Values from the calculation:
distance to the lowest polymorph of the same formula = 0 meV/atom
raw total energy = -7.177 eV/atom
formation energy = -0.03 eV/atom

## PmPuTl (PBE)

Data for a geometry-optimized PmPuTl structure.

Cell and atoms, written as CIF:
```
data_PmPuTl
_chemical_formula_sum 'Pm4 Pu4 Tl4'
_cell_length_a 8.587
_cell_length_b 8.587
_cell_length_c 5.379
_cell_angle_alpha 90.00
_cell_angle_beta 90.00
_cell_angle_gamma 90.00
_space_group_name_H-M_alt 'P 42/m m c'
_space_group_IT_number 131
_space_group_name_Hall '-P 4c 2'
loop_
_atom_site_label
_atom_site_fract_x
_atom_site_fract_y
_atom_site_fract_z
Pm1 0.000 0.281 0.000
Pu1 0.331 0.500 0.000
Tl1 0.163 0.500 0.500
```

Values from the calculation:
distance to the lowest polymorph of the same formula = 222 meV/atom
raw total energy = -6.955 eV/atom
formation energy = 0.19 eV/atom

## PmPu2Tl3 (PBE)

Data for a geometry-optimized PmPu2Tl3 structure.

Cell and atoms, written as CIF:
```
data_PmPu2Tl3
_chemical_formula_sum 'Pm1 Pu2 Tl3'
_cell_length_a 3.392
_cell_length_b 3.392
_cell_length_c 14.329
_cell_angle_alpha 90.00
_cell_angle_beta 90.00
_cell_angle_gamma 90.00
_space_group_name_H-M_alt 'P 4/m m m'
_space_group_IT_number 123
_space_group_name_Hall '-P 4 2'
loop_
_atom_site_label
_atom_site_fract_x
_atom_site_fract_y
_atom_site_fract_z
Pm1 0.000 0.000 0.000
Pu1 0.000 0.000 0.334
Tl1 0.500 0.500 0.168
Tl2 0.500 0.500 0.500
```

Values from the calculation:
raw total energy = -6.885 eV/atom
formation energy = -0.13 eV/atom

## PmPu2Tl (PBE)

Data for a geometry-optimized PmPu2Tl structure.

Cell and atoms, written as CIF:
```
data_PmPu2Tl
_chemical_formula_sum 'Pm1 Pu2 Tl1'
_cell_length_a 4.606
_cell_length_b 4.606
_cell_length_c 5.234
_cell_angle_alpha 90.00
_cell_angle_beta 90.00
_cell_angle_gamma 90.00
_space_group_name_H-M_alt 'P 4/m m m'
_space_group_IT_number 123
_space_group_name_Hall '-P 4 2'
loop_
_atom_site_label
_atom_site_fract_x
_atom_site_fract_y
_atom_site_fract_z
Pm1 0.000 0.000 0.000
Pu1 0.000 0.500 0.500
Tl1 0.500 0.500 0.000
```

Values from the calculation:
distance to the lowest polymorph of the same formula = 0 meV/atom
raw total energy = -8.975 eV/atom
formation energy = -0.03 eV/atom

## Pm5PuTl6 (PBE)

Data for a geometry-optimized Pm5PuTl6 structure.

Cell and atoms, written as CIF:
```
data_Pm5PuTl6
_chemical_formula_sum 'Pm10 Pu2 Tl12'
_cell_length_a 5.482
_cell_length_b 7.728
_cell_length_c 16.482
_cell_angle_alpha 90.00
_cell_angle_beta 90.00
_cell_angle_gamma 90.00
_space_group_name_H-M_alt 'I m m m'
_space_group_IT_number 71
_space_group_name_Hall '-I 2 2'
loop_
_atom_site_label
_atom_site_fract_x
_atom_site_fract_y
_atom_site_fract_z
Pm1 0.000 0.000 0.000
Pm2 0.000 0.000 0.339
Pm3 0.000 0.500 0.331
Pu1 0.000 0.500 0.000
Tl1 0.000 0.247 0.168
Tl2 0.000 0.257 0.500
```

Values from the calculation:
raw total energy = -4.668 eV/atom
formation energy = -0.31 eV/atom

## PmPu3Tl4 (PBE)

Data for a geometry-optimized PmPu3Tl4 structure.

Cell and atoms, written as CIF:
```
data_PmPu3Tl4
_chemical_formula_sum 'Pm1 Pu3 Tl4'
_cell_length_a 3.374
_cell_length_b 3.374
_cell_length_c 19.206
_cell_angle_alpha 90.00
_cell_angle_beta 90.00
_cell_angle_gamma 90.00
_space_group_name_H-M_alt 'P 4/m m m'
_space_group_IT_number 123
_space_group_name_Hall '-P 4 2'
loop_
_atom_site_label
_atom_site_fract_x
_atom_site_fract_y
_atom_site_fract_z
Pm1 0.000 0.000 0.000
Pu1 0.000 0.000 0.249
Pu2 0.000 0.000 0.500
Tl1 0.500 0.500 0.125
Tl2 0.500 0.500 0.375
```

Values from the calculation:
raw total energy = -7.260 eV/atom
formation energy = -0.11 eV/atom

## Pm2PuTl (PBE)

Data for a geometry-optimized Pm2PuTl structure.

Cell and atoms, written as CIF:
```
data_Pm2PuTl
_chemical_formula_sum 'Pm2 Pu1 Tl1'
_cell_length_a 5.024
_cell_length_b 5.024
_cell_length_c 4.642
_cell_angle_alpha 90.00
_cell_angle_beta 90.00
_cell_angle_gamma 90.00
_space_group_name_H-M_alt 'P 4/m m m'
_space_group_IT_number 123
_space_group_name_Hall '-P 4 2'
loop_
_atom_site_label
_atom_site_fract_x
_atom_site_fract_y
_atom_site_fract_z
Pm1 0.000 0.500 0.000
Pu1 0.000 0.000 0.500
Tl1 0.500 0.500 0.500
```

Values from the calculation:
distance to the lowest polymorph of the same formula = 0 meV/atom
raw total energy = -6.632 eV/atom
formation energy = -0.08 eV/atom

## Pm2PuTl (PBE)

Data for a geometry-optimized Pm2PuTl structure.

Cell and atoms, written as CIF:
```
data_Pm2PuTl
_chemical_formula_sum 'Pm8 Pu4 Tl4'
_cell_length_a 7.797
_cell_length_b 7.797
_cell_length_c 7.797
_cell_angle_alpha 90.00
_cell_angle_beta 90.00
_cell_angle_gamma 90.00
_space_group_name_H-M_alt 'F m -3 m'
_space_group_IT_number 225
_space_group_name_Hall '-F 4 2 3'
loop_
_atom_site_label
_atom_site_fract_x
_atom_site_fract_y
_atom_site_fract_z
Pm1 0.250 0.250 0.250
Pu1 0.000 0.000 0.000
Tl1 0.000 0.000 0.500
```

Values from the calculation:
distance to the lowest polymorph of the same formula = 100 meV/atom
raw total energy = -6.532 eV/atom
formation energy = 0.02 eV/atom

## Pm6PuTl5 (PBE)

Data for a geometry-optimized Pm6PuTl5 structure.

Cell and atoms, written as CIF:
```
data_Pm6PuTl5
_chemical_formula_sum 'Pm12 Pu2 Tl10'
_cell_length_a 17.471
_cell_length_b 7.690
_cell_length_c 5.517
_cell_angle_alpha 90.00
_cell_angle_beta 108.16
_cell_angle_gamma 90.00
_space_group_name_H-M_alt 'C 1 2/m 1'
_space_group_IT_number 12
loop_
_space_group_symop_operation_xyz
'x,y,z'
'-x,-y,-z'
'-x,y,-z'
'x,-y,z'
'x+1/2,y+1/2,z'
'-x+1/2,-y+1/2,-z'
'-x+1/2,y+1/2,-z'
'x+1/2,-y+1/2,z'
loop_
_atom_site_label
_atom_site_fract_x
_atom_site_fract_y
_atom_site_fract_z
Pm1 0.000 0.247 0.000
Pm2 0.168 0.249 0.667
Pu1 0.000 0.500 0.500
Tl1 0.000 0.000 0.500
Tl2 0.159 0.500 0.158
Tl3 0.167 0.000 0.166
```

Values from the calculation:
raw total energy = -4.830 eV/atom
formation energy = -0.27 eV/atom

## Pm12PuTl3 (PBE)

Data for a geometry-optimized Pm12PuTl3 structure.

Cell and atoms, written as CIF:
```
data_Pm12PuTl3
_chemical_formula_sum 'Pm12 Pu1 Tl3'
_cell_length_a 4.954
_cell_length_b 4.954
_cell_length_c 20.174
_cell_angle_alpha 90.00
_cell_angle_beta 90.00
_cell_angle_gamma 90.00
_space_group_name_H-M_alt 'P 4/m m m'
_space_group_IT_number 123
_space_group_name_Hall '-P 4 2'
loop_
_atom_site_label
_atom_site_fract_x
_atom_site_fract_y
_atom_site_fract_z
Pm1 0.000 0.000 0.000
Pm2 0.000 0.000 0.249
Pm3 0.000 0.000 0.500
Pm4 0.000 0.500 0.124
Pm5 0.000 0.500 0.373
Pu1 0.500 0.500 0.500
Tl1 0.500 0.500 0.000
Tl2 0.500 0.500 0.246
```

Values from the calculation:
raw total energy = -5.021 eV/atom
formation energy = -0.12 eV/atom

## PmPu2Tl (PBE)

Data for a geometry-optimized PmPu2Tl structure.

Cell and atoms, written as CIF:
```
data_PmPu2Tl
_chemical_formula_sum 'Pm4 Pu8 Tl4'
_cell_length_a 7.678
_cell_length_b 7.678
_cell_length_c 7.678
_cell_angle_alpha 90.00
_cell_angle_beta 90.00
_cell_angle_gamma 90.00
_space_group_name_H-M_alt 'F m -3 m'
_space_group_IT_number 225
_space_group_name_Hall '-F 4 2 3'
loop_
_atom_site_label
_atom_site_fract_x
_atom_site_fract_y
_atom_site_fract_z
Pm1 0.000 0.000 0.000
Pu1 0.250 0.250 0.250
Tl1 0.000 0.000 0.500
```

Values from the calculation:
distance to the lowest polymorph of the same formula = 211 meV/atom
raw total energy = -8.764 eV/atom
formation energy = 0.18 eV/atom

## PmPuTl6 (PBE)

Data for a geometry-optimized PmPuTl6 structure.

Cell and atoms, written as CIF:
```
data_PmPuTl6
_chemical_formula_sum 'Pm1 Pu1 Tl6'
_cell_length_a 4.792
_cell_length_b 4.792
_cell_length_c 9.633
_cell_angle_alpha 90.00
_cell_angle_beta 90.00
_cell_angle_gamma 90.00
_space_group_name_H-M_alt 'P 4/m m m'
_space_group_IT_number 123
_space_group_name_Hall '-P 4 2'
loop_
_atom_site_label
_atom_site_fract_x
_atom_site_fract_y
_atom_site_fract_z
Pm1 0.000 0.000 0.000
Pu1 0.000 0.000 0.500
Tl1 0.000 0.500 0.252
Tl2 0.500 0.500 0.000
Tl3 0.500 0.500 0.500
```

Values from the calculation:
raw total energy = -4.328 eV/atom
formation energy = -0.17 eV/atom